Record 1
TlRe2W: optimized geometry, PBE-GGA.

* electronic total energy: -9.394 eV per atom
* volume: 17.30 Å³ per atom
* SG: Pm (6)
* energy of formation from the pure elements: 0.66 eV per atom
* magnetization: 0.00 μB per atom

extended XYZ file:
```
4
Lattice="-2.548 -0.228 3.170 -1.646 -1.880 -1.458 1.519 -6.298 0.768" Properties=species:S:1:pos:R:3 pbc="T T T"
Re -1.453 -1.989 1.307
Re -1.574 -1.834 -1.397
Tl -0.075 -4.090 -0.354
W -1.283 -6.463 1.121
```


Record 2
BaN2: optimized geometry, PBE-GGA.

* electronic total energy: -6.709 eV per atom
* volume: 19.19 Å³ per atom
* SG: C2/c (15)
* magnetization: 0.00 μB per atom

extended XYZ file:
```
6
Lattice="4.261 0.025 -0.015 1.931 3.798 -0.015 1.602 0.989 7.128" Properties=species:S:1:pos:R:3 pbc="T T T"
Ba 2.821 3.252 1.767
Ba 4.972 1.561 5.331
N 2.907 1.027 3.229
N 4.887 3.786 3.868
N 3.021 2.634 6.793
N 4.773 2.179 0.304
```